Here is a relaxed structure of CoAgAu2 from Alexandria. Energies are from GGA-PBE.

Unit cell a=2.852 b=2.852 c=8.040 alpha=90.00 beta=90.00 gamma=90.00
Atoms (fractional coordinates):
1 Co 0.000 0.000 0.000
2 Ag 0.500 0.500 0.232
3 Au 0.000 0.000 0.502
4 Au 0.500 0.500 0.779

Output
N(E_F) (states/eV/cell): 3.48
Formation energy (kcal/mol of atoms): 4.42
ΔE to the lowest computed polymorph (meV/atom): 68.8
Crystal system: tetragonal